This record from Alexandria describes a geometry-optimized MnHgPdF6 structure. The functional is GGA+U.

abc: 5.106 5.106 10.494
angles: 90.00 90.00 90.00
Sites, in units of the cell vectors:
Mn  0.000  0.000  0.000
Mn  0.500  0.500  0.500
Hg  0.000  0.000  0.332
Hg  0.500  0.500  0.832
Pd  0.000  0.000  0.664
Pd  0.500  0.500  0.164
F  0.181  0.181  0.838
F  0.196  0.196  0.151
F  0.206  0.206  0.508
F  0.294  0.706  0.008
F  0.304  0.696  0.651
F  0.319  0.681  0.338
F  0.681  0.319  0.338
F  0.696  0.304  0.651
F  0.706  0.294  0.008
F  0.794  0.794  0.508
F  0.804  0.804  0.151
F  0.819  0.819  0.838

Computed properties:
Theoretical density, kg/m³: 5778
VASP energy, eV for the cell shown: -79.63